1.
The following is a DFT calculation (GGA-PBE) of a relaxed BaCo2Mo crystal.

abc: 5.1959 5.1959 5.1959
angles: 134.14 134.14 66.87
Closest atoms and distances in Å follow each position.
Fractional coordinates of all 4 atoms:
Co  0.2500  0.7500  0.5000  4 Ba 2.86, 4 Mo 2.97, 4 Co 2.97
Ba  0.7500  0.2500  0.5000  8 Co 2.86-2.97, 4 Mo 2.97
Co  0.0000  0.0000  0.0000  4 Mo 2.86, 4 Ba 2.97, 4 Co 2.97
Mo  0.5000  0.5000  0.0000  8 Co 2.86-2.97, 4 Ba 2.97

ΔE_f: 5.4 eV per formula unit
Uncorrected energy: -5.3995 eV per atom

2.
The following is a DFT calculation (GGA-PBE) of a relaxed BaCoMo2 crystal.

abc: 4.7249 4.7249 3.2504
angles: 90.00 90.00 90.00
Closest atoms and distances in Å follow each position.
Fractional coordinates of all 4 atoms:
Co  0.0000  0.5000  0.5000  8 Mo 2.87
Mo  0.0000  0.0000  0.0000  4 Ba 2.87, 4 Co 2.87
Mo  0.5000  0.5000  0.0000  4 Ba 2.87, 4 Co 2.87
Ba  0.5000  0.0000  0.5000  8 Mo 2.87

ΔE_f: 6.2 eV per formula unit
Uncorrected energy: -6.1245 eV per atom

3.
The following is a DFT calculation (GGA-PBE) of a relaxed BaCoMo2 crystal.

abc: 4.7404 4.7404 4.7404
angles: 120.00 120.00 90.00
Closest atoms and distances in Å follow each position.
Fractional coordinates of all 4 atoms:
Mo  0.9999  0.0000  0.9999  4 Mo 2.90, 4 Co 2.90
Ba  0.5000  0.5000  0.0000  4 Mo 2.90, 4 Co 2.90
Mo  0.2501  0.7500  0.5001  4 Mo 2.90, 4 Ba 2.90
Co  0.7500  0.2500  0.5000  4 Mo 2.90, 4 Ba 2.90

ΔE_f: 4.8 eV per formula unit
Uncorrected energy: -6.4706 eV per atom

4.
The following is a DFT calculation (GGA-PBE) of a relaxed BaCo2Mo crystal.

abc: 4.7053 4.7053 4.7053
angles: 60.00 60.00 60.00
Closest atoms and distances in Å follow each position.
Fractional coordinates of all 4 atoms:
Co  0.7500  0.7500  0.7500  4 Ba 2.88, 4 Mo 2.88
Ba  0.5000  0.5000  0.5000  8 Co 2.88
Mo  0.0000  0.0000  0.0000  8 Co 2.88
Co  0.2500  0.2500  0.2500  4 Ba 2.88, 4 Mo 2.88

ΔE_f: 4.7 eV per formula unit
Uncorrected energy: -5.5572 eV per atom

5.
The following is a DFT calculation (GGA-PBE) of a relaxed BaCo4Mo crystal.

abc: 5.0053 5.0053 5.0053
angles: 60.00 60.00 60.00
Closest atoms and distances in Å follow each position.
Fractional coordinates of all 6 atoms:
Mo  0.7500  0.7500  0.7500  12 Co 2.93, 4 Ba 3.07
Co  0.3762  0.3762  0.8713  6 Co 2.48-2.53
Ba  0.0000  0.0000  0.0000  12 Co 2.94, 4 Mo 3.07
Co  0.3762  0.3762  0.3762  6 Co 2.48-2.53
Co  0.3762  0.8713  0.3762  6 Co 2.48-2.53
Co  0.8713  0.3762  0.3762  6 Co 2.48-2.53

ΔE_f: 4.7 eV per formula unit
Uncorrected energy: -6.0785 eV per atom

6.
The following is a DFT calculation (GGA-PBE) of a relaxed BaCoMo4 crystal.

abc: 5.4452 5.4452 5.4452
angles: 60.00 60.00 60.00
Closest atoms and distances in Å follow each position.
Fractional coordinates of all 6 atoms:
Mo  0.3744  0.3744  0.3744  6 Mo 2.71-2.73
Co  0.0000  0.0000  0.0000  12 Mo 3.19, 4 Ba 3.33
Mo  0.8767  0.3744  0.3744  6 Mo 2.71-2.73
Mo  0.3744  0.8767  0.3744  6 Mo 2.71-2.73
Mo  0.3744  0.3744  0.8767  6 Mo 2.71-2.73
Ba  0.7500  0.7500  0.7500  12 Mo 3.19, 4 Co 3.33

ΔE_f: 6.3 eV per formula unit
Uncorrected energy: -7.6725 eV per atom

7.
The following is a DFT calculation (GGA-PBE) of a relaxed BaCoMo2 crystal.

abc: 4.3158 4.3158 6.6693
angles: 72.69 72.69 54.61
Closest atoms and distances in Å follow each position.
Fractional coordinates of all 4 atoms:
Mo  0.9491  0.9491  0.1590  3 Co 2.45-2.58, 2 Mo 2.58
Mo  0.5509  0.5509  0.3410  3 Co 2.45-2.58, 2 Mo 2.58
Ba  0.7500  0.7500  0.7500  8 Mo 3.53-3.72, 4 Co 3.88
Co  0.2500  0.2500  0.2500  6 Mo 2.45-2.58

ΔE_f: 2.7 eV per formula unit
Uncorrected energy: -6.9956 eV per atom

8.
The following is a DFT calculation (GGA-PBE) of a relaxed BaCo2Mo crystal.

abc: 4.5977 4.5977 4.5977
angles: 60.00 60.00 60.00
Closest atoms and distances in Å follow each position.
Fractional coordinates of all 4 atoms:
Ba  0.5000  0.5000  0.5000  4 Mo 2.82, 4 Co 2.82
Co  0.0000  0.0000  0.0000  4 Co 2.82, 4 Mo 2.82
Co  0.7500  0.7500  0.7500  4 Ba 2.82, 4 Co 2.82
Mo  0.2500  0.2500  0.2500  4 Co 2.82, 4 Ba 2.82

ΔE_f: 5.1 eV per formula unit
Uncorrected energy: -5.4627 eV per atom

- Which of these has the lowest uncorrected energy?
  BaCoMo4

- Which of these has the highest uncorrected energy?
  number 1

- Among the records above, which one has the lowest uncorrected energy?
  BaCoMo4

Please write out number 3 again, unchanged.
The following is a DFT calculation (GGA-PBE) of a relaxed BaCoMo2 crystal.

abc: 4.7404 4.7404 4.7404
angles: 120.00 120.00 90.00
Closest atoms and distances in Å follow each position.
Fractional coordinates of all 4 atoms:
Mo  0.9999  0.0000  0.9999  4 Mo 2.90, 4 Co 2.90
Ba  0.5000  0.5000  0.0000  4 Mo 2.90, 4 Co 2.90
Mo  0.2501  0.7500  0.5001  4 Mo 2.90, 4 Ba 2.90
Co  0.7500  0.2500  0.5000  4 Mo 2.90, 4 Ba 2.90

ΔE_f: 4.8 eV per formula unit
Uncorrected energy: -6.4706 eV per atom